[1]
Density functional theory data (GGA-PBE) for a relaxed structure of HfInAsO.

Computed properties:
relative energy among the computed polymorphs = 0.26 eV/f.u.

Cell: 3.7590 3.7590 10.3980 Å, 90.00 90.00 90.00°
Space group P4/nmm (No. 129, origin choice 2)
Inequivalent atoms, fractional coordinates:
1 Hf 0.2500 0.2500 0.1102
2 In 0.2500 0.7500 0.5000
3 As 0.2500 0.2500 0.7530
4 O 0.2500 0.7500 0.0000


[2]
Density functional theory data (GGA-PBE) for a relaxed structure of HfInAsO.

Computed properties:
relative energy among the computed polymorphs = 0.03 eV/f.u.

Cell: 3.9798 8.6575 6.0544 Å, 90.00 90.00 90.00°
Space group Pmc2_1 (No. 26)
Inequivalent atoms, fractional coordinates:
1 Hf 0.0000 0.1379 0.0000
2 In 0.5000 0.3379 0.4545
3 As 0.5000 0.3286 0.9441
4 O 0.0000 0.0122 0.2650


[3]
Density functional theory data (GGA-PBE) for a relaxed structure of HfAsIr2.

Cell: 6.4188 6.4188 6.4188 Å, 90.00 90.00 90.00°
Space group F-43m (No. 216)
Inequivalent atoms, fractional coordinates:
1 Hf 0.0000 0.0000 0.0000
2 As 0.2500 0.2500 0.7500
3 Ir 0.0000 0.0000 0.5000
4 Ir 0.2500 0.2500 0.2500


[4]
Density functional theory data (GGA-PBE) for a relaxed structure of HfAs2Ir2.

Cell: 3.9582 3.9582 11.1602 Å, 90.00 90.00 90.00°
Space group I4/mmm (No. 139)
Inequivalent atoms, fractional coordinates:
1 Hf 0.0000 0.0000 0.0000
2 As 0.0000 0.0000 0.3838
3 Ir 0.0000 0.5000 0.2500


[5]
Density functional theory data (GGA-PBE) for a relaxed structure of Hf2AsIr.

Cell: 6.6131 6.6131 6.6131 Å, 90.00 90.00 90.00°
Space group F-43m (No. 216)
Inequivalent atoms, fractional coordinates:
1 Hf 0.0000 0.0000 0.0000
2 Hf 0.2500 0.2500 0.2500
3 As 0.0000 0.0000 0.5000
4 Ir 0.2500 0.2500 0.7500


[6]
Density functional theory data (GGA-PBE) for a relaxed structure of HfNiAsIr.

Cell: 6.3284 6.3284 6.3284 Å, 90.00 90.00 90.00°
Space group F-43m (No. 216)
Inequivalent atoms, fractional coordinates:
1 Hf 0.0000 0.0000 0.0000
2 Ni 0.0000 0.0000 0.5000
3 As 0.2500 0.2500 0.2500
4 Ir 0.2500 0.2500 0.7500


no.,ρ (kg/m3),total DFT energy (no corrections) (eV/atom)
1,8685,-6.76
2,6117,-6.82
3,16020,-8.23
4,13538,-7.50
5,14334,-8.40
6,13217,-7.51